Material: Ba2FeTe
Method: DFT, meta-GGA SCAN
State: PBEsol geometry

a = 4.6629 Å, b = 4.6629 Å, c = 8.5500 Å
α = 74.18°, β = 74.18°, γ = 60.00°
With the nearest neighbours (Å) after each atom.
Atoms (fractional coordinates):
Ba1 0.7473 0.7473 0.7580  3 Fe 3.33, 3 Te 3.41
Ba2 0.2527 0.2527 0.2420  3 Fe 3.33, 3 Te 3.41
Fe1 0.0000 0.0000 0.0000  6 Ba 3.33
Te1 0.5000 0.5000 0.5000  6 Ba 3.41

## Properties
crystal system = trigonal
space-group type = R-3m, No. 166
DFT total energy = -34.02 eV per atom
E_form (uncorrected) = -398 meV/atom


Material: BaFe2Te
Method: DFT, meta-GGA SCAN
State: PBEsol geometry

a = 3.5993 Å, b = 3.5993 Å, c = 6.8626 Å
α = 90.00°, β = 90.00°, γ = 89.96°
With the nearest neighbours (Å) after each atom.
Atoms (fractional coordinates):
Ba1 0.5000 0.5000 0.0000  2 Te 3.43, 8 Fe 3.43-3.44, 4 Ba 3.60
Te1 0.5000 0.5000 0.5000  8 Fe 2.78
Fe1 0.0000 0.0000 0.6638  1 Fe 2.25
Fe2 0.0000 0.0000 0.3362  1 Fe 2.25

## Properties
crystal system = tetragonal
space-group type = P4/mmm, No. 123
DFT total energy = -27.85 eV per atom
E_form (uncorrected) = 417 meV/atom


Material: BaFeTe
Method: DFT, meta-GGA SCAN
State: PBEsol geometry

a = 4.8156 Å, b = 4.8156 Å, c = 4.8156 Å
α = 60.00°, β = 60.00°, γ = 60.00°
With the nearest neighbours (Å) after each atom.
Atoms (fractional coordinates):
Fe1 0.7500 0.7500 0.7500  4 Ba 2.95, 4 Te 2.95
Ba1 0.5000 0.5000 0.5000  4 Fe 2.95
Te1 0.0000 0.0000 0.0000  4 Fe 2.95

## Properties
crystal system = cubic
space-group type = F-43m, No. 216
DFT total energy = -31.76 eV per atom
relative energy among the computed polymorphs = 0 meV per atom
E_form (uncorrected) = -116 meV/atom


Material: BaTiFe2
Method: DFT, meta-GGA SCAN
State: PBEsol geometry

a = 4.6563 Å, b = 4.6563 Å, c = 4.6563 Å
α = 60.00°, β = 60.00°, γ = 60.00°
With the nearest neighbours (Å) after each atom.
Atoms (fractional coordinates):
Fe1 0.2500 0.2500 0.2500  4 Ba 2.85, 4 Ti 2.85
Fe2 0.7500 0.7500 0.7500  4 Ba 2.85, 4 Ti 2.85
Ba1 0.5000 0.5000 0.5000  8 Fe 2.85
Ti1 0.0000 0.0000 0.0000  8 Fe 2.85

## Properties
crystal system = cubic
space-group type = Fm-3m, No. 225
DFT total energy = -22.02 eV per atom
formation energy from the elements = 0.9424 eV per atom


Material: BaTlFe2
Method: DFT, meta-GGA SCAN
State: PBEsol geometry

a = 3.2660 Å, b = 3.2660 Å, c = 7.8734 Å
α = 90.00°, β = 90.00°, γ = 90.00°
With the nearest neighbours (Å) after each atom.
Atoms (fractional coordinates):
Tl1 0.0002 0.0000 0.4316  5 Fe 2.69-2.95
Fe1 0.9998 0.0000 0.0901  4 Fe 2.46, 1 Tl 2.69
Fe2 0.4999 0.5000 0.1977  4 Fe 2.46
Ba1 0.5000 0.5000 0.7807  4 Ba 3.27, 5 Fe 3.28-3.36, 4 Tl 3.59

## Properties
crystal system = tetragonal
space-group type = P4mm, No. 99
DFT total energy = -36.70 eV per atom
formation energy from the elements = 0.3399 eV per atom


Material: BaTlFe2
Method: DFT, meta-GGA SCAN
State: PBEsol geometry

a = 3.2377 Å, b = 5.2506 Å, c = 6.0051 Å
α = 115.92°, β = 105.64°, γ = 90.00°
With the nearest neighbours (Å) after each atom.
Atoms (fractional coordinates):
Tl1 0.5355 0.5355 0.0711  6 Fe 3.03-3.23, 2 Tl 3.24, 2 Ba 3.35
Ba1 0.7380 0.2380 0.4760  8 Fe 3.12-3.45, 2 Ba 3.24, 4 Tl 3.35-3.47
Fe1 0.9425 0.9425 0.8851  2 Fe 2.30
Fe2 0.2840 0.7840 0.5679  2 Fe 2.30

## Properties
crystal system = orthorhombic
space-group type = Imm2, No. 44
DFT total energy = -36.49 eV per atom
formation energy from the elements = 0.5556 eV per atom


Material: BaFeW2
Method: DFT, meta-GGA SCAN
State: PBEsol geometry

a = 2.9814 Å, b = 5.6084 Å, c = 5.7780 Å
α = 119.03°, β = 104.95°, γ = 90.00°
With the nearest neighbours (Å) after each atom.
Atoms (fractional coordinates):
Ba1 0.5069 0.5069 0.0138  2 Ba 2.98, 2 Fe 3.11, 6 W 3.18-3.25
W1 0.9953 0.9953 0.9906  2 Fe 2.48, 2 W 2.54
W2 0.7080 0.2080 0.4159  2 W 2.54
Fe1 0.2898 0.7898 0.5797  2 W 2.48

## Properties
crystal system = orthorhombic
space-group type = Imm2, No. 44
DFT total energy = -47.74 eV per atom
relative energy among the computed polymorphs = 0 meV per atom
formation energy from the elements = 1.5263 eV per atom


Material: BaFeW2
Method: DFT, meta-GGA SCAN
State: PBEsol geometry

a = 3.7921 Å, b = 3.7921 Å, c = 5.2608 Å
α = 90.00°, β = 90.00°, γ = 90.00°
With the nearest neighbours (Å) after each atom.
Atoms (fractional coordinates):
Fe1 0.0000 0.0000 0.5000  4 Ba 2.68
Ba1 0.5000 0.5000 0.5000  4 Fe 2.68
W1 0.5000 0.0000 0.0000  4 W 2.68
W2 0.0000 0.5000 0.0000  4 W 2.68

## Properties
crystal system = tetragonal
space-group type = P4/mmm, No. 123
DFT total energy = -47.45 eV per atom
relative energy among the computed polymorphs = 283 meV per atom
formation energy from the elements = 1.8091 eV per atom


Q: Which of these has the highest DFT total energy?
A: BaTiFe2


Q: Which value of DFT total energy does entry 6 give?
A: -36.49 eV per atom


Q: What is the formula in the first record?
A: Ba2FeTe


Q: Which value of DFT total energy does entry 2 give?
A: -27.85 eV per atom